Record 1
Computed, not measured: a relaxed Ca3SiF crystal at the PBE-GGA level of DFT. Values from VASP.

Results
Raw total energy ... -19.0 eV/cell
Offset from the most stable computed form ... 0.62 eV per formula unit
V ... 22.2 Å³ per atom
Space group ... Pm-3m (221)
ΔE_f (raw) ... -1142.3 meV/atom

Structure (Quantum ESPRESSO input):
```
&SYSTEM
  ibrav = 0, nat = 5, ntyp = 3
/
ATOMIC_SPECIES
Ca 40.08 Ca.upf
Si 28.09 Si.upf
F 19.00 F.upf
ATOMIC_POSITIONS crystal
Ca 0.0000 0.0000 0.5000
Ca 0.0000 0.5000 0.0000
Ca 0.5000 0.0000 0.0000
Si 0.5000 0.5000 0.5000
F 0.0000 0.0000 0.0000
CELL_PARAMETERS angstrom
4.8023 0.0000 0.0000
0.0000 4.8023 0.0000
0.0000 0.0000 4.8023
```

Record 2
Computed, not measured: a relaxed CaSiF3 crystal at the PBE-GGA level of DFT. Values from VASP.

Results
Raw total energy ... -23.8 eV/cell
Offset from the most stable computed form ... 0.00 eV per formula unit
V ... 17.3 Å³ per atom
Space group ... Pm-3m (221)
ΔE_f (raw) ... -2148.2 meV/atom

Structure (Quantum ESPRESSO input):
```
&SYSTEM
  ibrav = 0, nat = 5, ntyp = 3
/
ATOMIC_SPECIES
Ca 40.08 Ca.upf
Si 28.09 Si.upf
F 19.00 F.upf
ATOMIC_POSITIONS crystal
Ca 0.0000 0.0000 0.0000
Si 0.5000 0.5000 0.5000
F 0.0000 0.0000 0.5000
F 0.0000 0.5000 0.0000
F 0.5000 0.0000 0.0000
CELL_PARAMETERS angstrom
4.4246 0.0000 0.0000
0.0000 4.4246 0.0000
0.0000 0.0000 4.4246
```

Record 3
Computed, not measured: a relaxed Ca3SiF crystal at the PBE-GGA level of DFT. Values from VASP.

Results
Raw total energy ... -39.3 eV/cell
Offset from the most stable computed form ... 0.00 eV per formula unit
V ... 26.6 Å³ per atom
Space group ... P2_1/m (11)
ΔE_f (raw) ... -1265.6 meV/atom

Structure (Quantum ESPRESSO input):
```
&SYSTEM
  ibrav = 0, nat = 10, ntyp = 3
/
ATOMIC_SPECIES
Ca 40.08 Ca.upf
Si 28.09 Si.upf
F 19.00 F.upf
ATOMIC_POSITIONS crystal
Ca 0.0377 0.2500 0.3301
Ca 0.2760 0.2500 0.0321
Ca 0.3810 0.7500 0.6242
Ca 0.6190 0.2500 0.3758
Ca 0.7240 0.7500 0.9679
Ca 0.9623 0.7500 0.6699
Si 0.3134 0.7500 0.2931
Si 0.6866 0.2500 0.7069
F 0.1369 0.2500 0.5859
F 0.8631 0.7500 0.4141
CELL_PARAMETERS angstrom
7.9986 0.0000 0.0000
0.0000 3.5763 0.0000
-2.3665 0.0000 9.2984
```

Record 4
Computed, not measured: a relaxed CaSi2SnF crystal at the PBE-GGA level of DFT. Values from VASP.

Results
Raw total energy ... -13.8 eV/cell
V ... 34.8 Å³ per atom
Space group ... P4/mmm (123)
ΔE_f (raw) ... 988.3 meV/atom

Structure (Quantum ESPRESSO input):
```
&SYSTEM
  ibrav = 0, nat = 5, ntyp = 4
/
ATOMIC_SPECIES
Ca 40.08 Ca.upf
Si 28.09 Si.upf
Sn 118.71 Sn.upf
F 19.00 F.upf
ATOMIC_POSITIONS crystal
Ca 0.0000 0.0000 0.0000
Si 0.0000 0.5000 0.0000
Si 0.5000 0.0000 0.0000
Sn 0.0000 0.0000 0.5000
F 0.5000 0.5000 0.5000
CELL_PARAMETERS angstrom
5.3579 0.0000 0.0000
0.0000 5.3579 0.0000
0.0000 0.0000 6.0634
```

Record 5
Computed, not measured: a relaxed CaSmF5 crystal at the PBE-GGA level of DFT. Values from VASP.

Results
Raw total energy ... -87.4 eV/cell
V ... 13.7 Å³ per atom
Space group ... C2/c (15)
ΔE_f (raw) ... -3947.7 meV/atom

Structure (Quantum ESPRESSO input):
```
&SYSTEM
  ibrav = 0, nat = 14, ntyp = 3
/
ATOMIC_SPECIES
Ca 40.08 Ca.upf
Sm 150.36 Sm.upf
F 19.00 F.upf
ATOMIC_POSITIONS crystal
Ca 0.0000 0.0000 0.0000
Ca 0.0000 0.0000 0.5000
Sm 0.4939 0.5061 0.7500
Sm 0.5061 0.4939 0.2500
F 0.0544 0.6284 0.8258
F 0.1667 0.8333 0.2500
F 0.2574 0.4043 0.4937
F 0.3716 0.9456 0.6742
F 0.4043 0.2574 0.9937
F 0.5957 0.7426 0.0063
F 0.6284 0.0544 0.3258
F 0.7426 0.5957 0.5063
F 0.8333 0.1667 0.7500
F 0.9456 0.3716 0.1742
CELL_PARAMETERS angstrom
3.5515 -3.4281 0.0000
3.5515 3.4281 0.0000
-0.4568 0.0000 7.8886
```

Record 6
Computed, not measured: a relaxed Ca2SmF8 crystal at the PBE-GGA level of DFT. Values from VASP.

Results
Raw total energy ... -62.7 eV/cell
V ... 12.6 Å³ per atom
Space group ... Immm (71)
ΔE_f (raw) ... -3543.3 meV/atom

Structure (Quantum ESPRESSO input):
```
&SYSTEM
  ibrav = 0, nat = 11, ntyp = 3
/
ATOMIC_SPECIES
Ca 40.08 Ca.upf
Sm 150.36 Sm.upf
F 19.00 F.upf
ATOMIC_POSITIONS crystal
Ca 0.1859 0.1859 0.0000
Ca 0.8141 0.8141 0.0000
Sm 0.5000 0.5000 0.0000
F 0.0732 0.3391 0.7341
F 0.1702 0.0000 0.1702
F 0.3843 0.8843 0.5000
F 0.3950 0.6609 0.7341
F 0.6050 0.3391 0.2659
F 0.6157 0.1157 0.5000
F 0.8298 0.0000 0.8298
F 0.9268 0.6609 0.2659
CELL_PARAMETERS angstrom
-1.9649 3.0069 5.8497
1.9649 -3.0069 5.8497
1.9649 3.0069 -5.8497
```

Record 7
Computed, not measured: a relaxed Ca2SmF crystal at the PBE-GGA level of DFT. Values from VASP.

Results
Raw total energy ... -14.7 eV/cell
V ... 28.1 Å³ per atom
Space group ... R-3m (166)
ΔE_f (raw) ... -1028.2 meV/atom

Structure (Quantum ESPRESSO input):
```
&SYSTEM
  ibrav = 0, nat = 4, ntyp = 3
/
ATOMIC_SPECIES
Ca 40.08 Ca.upf
Sm 150.36 Sm.upf
F 19.00 F.upf
ATOMIC_POSITIONS crystal
Ca 0.1140 0.1140 0.1140
Ca 0.8860 0.8860 0.8860
Sm 0.0000 0.0000 0.0000
F 0.5000 0.5000 0.5000
CELL_PARAMETERS angstrom
1.7951 1.0364 10.0659
-1.7951 1.0364 10.0659
0.0000 -2.0728 10.0659
```

Record 8
Computed, not measured: a relaxed CaSm2F8 crystal at the PBE-GGA level of DFT. Values from VASP.

Results
Raw total energy ... -69.7 eV/cell
V ... 12.2 Å³ per atom
Space group ... Immm (71)
ΔE_f (raw) ... -3935.7 meV/atom

Structure (Quantum ESPRESSO input):
```
&SYSTEM
  ibrav = 0, nat = 11, ntyp = 3
/
ATOMIC_SPECIES
Ca 40.08 Ca.upf
Sm 150.36 Sm.upf
F 19.00 F.upf
ATOMIC_POSITIONS crystal
Ca 0.0000 0.0000 0.0000
Sm 0.3242 0.3242 0.0000
Sm 0.6758 0.6758 0.0000
F 0.1193 0.8546 0.2647
F 0.1900 0.6900 0.5000
F 0.2756 0.5000 0.7756
F 0.4101 0.1454 0.2647
F 0.5899 0.8546 0.7353
F 0.7244 0.5000 0.2244
F 0.8100 0.3100 0.5000
F 0.8807 0.1454 0.7353
CELL_PARAMETERS angstrom
-1.9859 2.7894 6.0800
1.9859 -2.7894 6.0800
1.9859 2.7894 -6.0800
```